20
Lattice="7.857 0.000 0.000 0.000 3.823 0.000 -0.722 0.000 8.375" Properties=species:S:1:pos:R:3 comment="Ti3AlNi6, optimized geometry, DFT GGA-PBE" ef_ev_per_atom=-0.40 space_group=P2_1/m vol_a3_per_atom=12.58 total_magnetization_mub_per_cell=0.80 n_ef_per_ev_fu=9.1 pbc="T T T"
Ti 0.120 0.956 3.408
Ti 1.036 2.867 1.753
Ti 1.342 0.956 8.279
Ti 5.794 2.867 0.097
Ti 6.100 0.956 6.622
Ti 7.016 2.867 4.967
Al 3.054 0.956 5.134
Al 4.082 2.867 3.241
Ni -0.278 2.867 7.567
Ni 0.687 0.956 5.890
Ni 1.745 2.867 4.280
Ni 2.141 2.867 6.798
Ni 2.629 0.956 2.563
Ni 3.405 2.867 0.883
Ni 3.730 0.956 7.492
Ni 4.507 2.867 5.812
Ni 4.994 0.956 1.577
Ni 5.391 0.956 4.095
Ni 6.449 2.867 2.485
Ni 7.414 0.956 0.808

3
Lattice="4.200 0.000 0.000 -2.100 3.637 0.000 0.000 0.000 2.784" Properties=species:S:1:pos:R:3 comment="TiAlNi, optimized geometry, DFT GGA-PBE" ef_ev_per_atom=-0.43 space_group=P3m1 vol_a3_per_atom=14.18 total_magnetization_mub_per_cell=0.00 n_ef_per_ev_fu=3.1 pbc="T T T"
Ti 0.000 0.000 0.000
Al 2.100 1.212 1.395
Ni 0.000 2.425 1.377